Pu2NiIr: relaxed, GGA-PBE.

a b c (Å): 5.560 4.104 7.616
angles (deg): 90.00 109.99 90.00
Space group P2_1/m (No. 11)
Unique sites:
Pu  0.211  0.250  0.428 (multiplicity 2)
Pu  0.218  0.250  0.929 (multiplicity 2)
Ni  0.342  0.750  0.707 (multiplicity 2)
Ir  0.336  0.750  0.212 (multiplicity 2)

Results
DFT formation energy	-0.332	eV per atom
total magnetization	2.5922	μB/atom

=====

Pu3Ni2Ir7: relaxed, GGA-PBE.

a b c (Å): 5.3032 5.3032 25.2759
angles (deg): 90.00 90.00 120.00
Space group R-3m (No. 166, hexagonal axes)
Unique sites:
Pu  0.0000  0.0000  0.0000 (multiplicity 3)
Pu  0.0000  0.0000  0.1402 (multiplicity 6)
Ni  0.0000  0.0000  0.3339 (multiplicity 6)
Ir  0.0000  0.0000  0.5000 (multiplicity 3)
Ir  0.0040  0.5020  0.9196 (multiplicity 18)

Results
DFT formation energy	-0.442	eV per atom
total magnetization	1.0885	μB/atom

=====

PuNiIr: relaxed, GGA-PBE.

a b c (Å): 3.315 3.315 9.530
angles (deg): 90.00 90.00 90.00
Space group I4mm (No. 107)
Unique sites:
Pu  0.000  0.000  0.000 (multiplicity 2)
Ni  0.000  0.000  0.704 (multiplicity 2)
Ir  0.000  0.000  0.301 (multiplicity 2)

Results
DFT formation energy	-0.056	eV per atom
total magnetization	1.6508	μB/atom

=====

Pu2Ni3Ir: relaxed, GGA-PBE.

a b c (Å): 5.0718 5.0718 12.8615
angles (deg): 90.00 90.00 120.00
Space group R-3m (No. 166, hexagonal axes)
Unique sites:
Pu  0.0000  0.0000  0.1249 (multiplicity 6)
Ni  0.0000  0.5000  0.0000 (multiplicity 9)
Ir  0.0000  0.0000  0.5000 (multiplicity 3)

Results
DFT formation energy	-0.382	eV per atom
total magnetization	1.6083	μB/atom

=====

PuNi3Ir: relaxed, GGA-PBE.

a b c (Å): 4.609 16.224 4.301
angles (deg): 90.00 90.00 90.00
Space group Cmcm (No. 63)
Unique sites:
Pu  0.000  0.083  0.250 (multiplicity 4)
Ni  0.000  0.500  0.000 (multiplicity 4)
Ni  0.241  0.280  0.750 (multiplicity 8)
Ir  0.000  0.359  0.250 (multiplicity 4)

Results
DFT formation energy	0.183	eV per atom
total magnetization	0.7029	μB/atom

=====

PuNiIr: relaxed, GGA-PBE.

a b c (Å): 5.030 5.393 7.363
angles (deg): 90.00 90.00 90.00
Space group Imma (No. 74)
Unique sites:
Pu  0.000  0.250  0.126 (multiplicity 4)
Ni  0.250  0.250  0.750 (multiplicity 4)
Ir  0.000  0.000  0.500 (multiplicity 4)

Results
DFT formation energy	-0.469	eV per atom
total magnetization	1.5822	μB/atom

=====

Pu2Si3Ni4Ir: relaxed, GGA-PBE.

a b c (Å): 3.813 3.813 10.481
angles (deg): 90.00 90.00 90.00
Space group P-4m2 (No. 115)
Unique sites:
Pu  0.000  0.500  0.246 (multiplicity 2)
Si  0.000  0.000  0.000 (multiplicity 1)
Si  0.000  0.500  0.624 (multiplicity 2)
Ni  0.000  0.000  0.500 (multiplicity 1)
Ni  0.000  0.500  0.843 (multiplicity 2)
Ni  0.500  0.500  0.500 (multiplicity 1)
Ir  0.500  0.500  0.000 (multiplicity 1)

Results
total magnetization	0.9868	μB/atom
formation energy (no corrections)	-527	meV/atom

=====

PuNiSnIr: relaxed, GGA-PBE.

a b c (Å): 6.646 6.646 6.646
angles (deg): 90.00 90.00 90.00
Space group F-43m (No. 216)
Unique sites:
Pu  0.000  0.000  0.000 (multiplicity 4)
Ni  0.250  0.250  0.250 (multiplicity 4)
Sn  0.000  0.000  0.500 (multiplicity 4)
Ir  0.250  0.250  0.750 (multiplicity 4)

Results
DFT formation energy	-0.254	eV per atom
total magnetization	1.1480	μB/atom